[1]
## ZnAs2Pt (GGA-PBE)

Data for ZnAs2Pt after structural relaxation.

Summary:
Formation energy   0.069 eV per atom

Cell lengths 3.9114, 3.8668, 4.5510 Å; angles 90.00, 90.00, 90.00 degrees
Positions (direct):
Zn (0.0000, 0.5000, 0.5000)
As (0.0000, 0.0000, 0.0000)
Pt (0.5000, 0.0000, 0.5000)
As (0.5000, 0.5000, 0.0000)

[2]
## CaSc3Au4 (GGA-PBE)

Data for CaSc3Au4 after structural relaxation.

Summary:
Formation energy   -0.777 eV per atom

Cell lengths 4.8460, 4.8460, 8.6268 Å; angles 73.69, 73.69, 60.00 degrees
Positions (direct):
Au (0.3845, 0.3845, 0.8464)
Au (0.6155, 0.6155, 0.1536)
Sc (0.2490, 0.2490, 0.2530)
Sc (0.5000, 0.5000, 0.5000)
Au (0.1313, 0.1313, 0.6062)
Ca (0.0000, 0.0000, 0.0000)
Sc (0.7510, 0.7510, 0.7470)
Au (0.8687, 0.8687, 0.3938)

[3]
## BaCeAgSe3 (GGA-PBE)

Data for BaCeAgSe3 after structural relaxation.

Cell lengths 4.3509, 8.9351, 9.5846 Å; angles 104.59, 90.00, 90.00 degrees
Each line ends with the local moment (μB).
Positions (direct):
Se (0.7500, 0.4433, 0.1580)  -0.02
Ag (0.7500, 0.9133, 0.4135)  0.00
Ba (0.7500, 0.8051, 0.7601)  0.00
Se (0.2500, 0.1046, 0.8697)  -0.01
Se (0.7500, 0.8954, 0.1303)  -0.01
Se (0.2500, 0.5567, 0.8420)  -0.02
Ba (0.2500, 0.1949, 0.2399)  0.00
Ce (0.2500, 0.6756, 0.1633)  0.93
Ce (0.7500, 0.3244, 0.8367)  0.93
Se (0.2500, 0.7603, 0.4825)  -0.01
Se (0.7500, 0.2397, 0.5175)  -0.01
Ag (0.2500, 0.0867, 0.5865)  0.00

[4]
## Ti12In3Pt5 (GGA-PBE)

Data for Ti12In3Pt5 after structural relaxation.

Summary:
Formation energy   0.133 eV per atom

Cell lengths 13.2237, 13.2237, 13.2237 Å; angles 109.47, 109.47, 109.47 degrees
Each line ends with the local moment (μB).
Positions (direct):
Ti (0.1676, 0.0869, 0.7185)  0.48
Ti (0.8683, 0.2815, 0.4491)  0.48
Ti (0.8683, 0.5869, 0.9193)  0.48
Ti (0.4491, 0.6676, 0.0807)  0.48
Ti (0.2815, 0.4131, 0.8324)  0.48
Pt (0.2500, 0.8750, 0.1250)  -0.02
In (0.2500, 0.6250, 0.8750)  -0.02
In (0.3750, 0.6250, 0.2500)  -0.02
Ti (0.8324, 0.9193, 0.0509)  0.48
Ti (0.5807, 0.9491, 0.6676)  0.48
Pt (0.0000, 0.5000, 0.5000)  0.01
Ti (0.5509, 0.2185, 0.1317)  0.48
Ti (0.0807, 0.9131, 0.1317)  0.48
Ti (0.0869, 0.1676, 0.2185)  0.48
In (0.8750, 0.1250, 0.2500)  -0.02
Ti (0.2185, 0.5509, 0.6317)  0.48
Ti (0.1317, 0.7185, 0.5509)  0.48
Ti (0.9491, 0.5807, 0.1676)  0.48
Pt (0.6250, 0.7500, 0.8750)  -0.02
Ti (0.0509, 0.4193, 0.8324)  0.48
Ti (0.0869, 0.9193, 0.3683)  0.48
Ti (0.3683, 0.4193, 0.0869)  0.48
Ti (0.7185, 0.1317, 0.0509)  0.48
Ti (0.5869, 0.7185, 0.6676)  0.48
Ti (0.7815, 0.3324, 0.9131)  0.48
Ti (0.5509, 0.3324, 0.9193)  0.48
Ti (0.6317, 0.0509, 0.2185)  0.48
Pt (0.5000, 0.5000, 0.0000)  0.01
Ti (0.1317, 0.4131, 0.0807)  0.48
In (0.1250, 0.8750, 0.7500)  -0.02
Ti (0.4491, 0.7815, 0.8683)  0.48
Ti (0.3324, 0.5509, 0.4193)  0.48
Pt (0.2500, 0.3750, 0.6250)  -0.02
Pt (0.5000, 0.5000, 0.5000)  0.01
Pt (0.1250, 0.7500, 0.3750)  -0.02
Ti (0.6676, 0.4491, 0.5807)  0.48
Ti (0.9193, 0.8324, 0.5509)  0.48
Ti (0.4131, 0.1317, 0.5807)  0.48
Ti (0.8324, 0.9131, 0.2815)  0.48
Pt (0.5000, 0.0000, 0.0000)  0.01
Ti (0.0509, 0.6317, 0.7185)  0.48
Ti (0.7815, 0.4491, 0.3683)  0.48
Pt (0.7500, 0.6250, 0.3750)  -0.02
Pt (0.6250, 0.8750, 0.2500)  -0.02
Ti (0.5869, 0.8683, 0.4193)  0.48
In (0.1250, 0.2500, 0.8750)  -0.02
Ti (0.9131, 0.8324, 0.7815)  0.48
Pt (0.7500, 0.1250, 0.8750)  -0.02
Ti (0.4131, 0.2815, 0.3324)  0.48
In (0.2500, 0.1250, 0.3750)  -0.02
Ti (0.9131, 0.0807, 0.6317)  0.48
Ti (0.2815, 0.8683, 0.9491)  0.48
Pt (0.5000, 0.0000, 0.5000)  0.01
Pt (0.0000, 0.0000, 0.0000)  0.01
Ti (0.4193, 0.0509, 0.3324)  0.48
Pt (0.0000, 0.0000, 0.5000)  0.01
In (0.7500, 0.3750, 0.1250)  -0.02
In (0.3750, 0.7500, 0.6250)  -0.02
Pt (0.8750, 0.6250, 0.7500)  -0.02
Ti (0.2185, 0.6676, 0.0869)  0.48
Ti (0.7185, 0.5869, 0.1676)  0.48
In (0.6250, 0.2500, 0.3750)  -0.02
Ti (0.3324, 0.7815, 0.4131)  0.48
Ti (0.3683, 0.9491, 0.7815)  0.48
Pt (0.1250, 0.3750, 0.2500)  -0.02
Ti (0.1676, 0.0807, 0.9491)  0.48
Pt (0.8750, 0.2500, 0.6250)  -0.02
In (0.7500, 0.8750, 0.6250)  -0.02
Ti (0.0807, 0.1676, 0.4491)  0.48
Ti (0.4193, 0.3683, 0.5869)  0.48
Pt (0.0000, 0.5000, 0.0000)  0.01
In (0.6250, 0.3750, 0.7500)  -0.02
Ti (0.9491, 0.3683, 0.2815)  0.48
Pt (0.3750, 0.2500, 0.1250)  -0.02
Ti (0.9193, 0.0869, 0.8683)  0.48
Pt (0.3750, 0.1250, 0.7500)  -0.02
Ti (0.6317, 0.5807, 0.9131)  0.48
In (0.8750, 0.7500, 0.1250)  -0.02
Ti (0.6676, 0.2185, 0.5869)  0.48
Ti (0.5807, 0.6317, 0.4131)  0.48

| no. | raw total energy (eV per formula unit) |
| --- | --- |
| 1 | -16.34 |
| 2 | -40.32 |
| 3 | -30.18 |
| 4 | -130.50 |